Entry 1:
TaHgOs after structural relaxation. Source: the Alexandria database, functional PBE.

Values from the calculation:
N(E_F), states/eV per cell: 3.7
Energy relative to the elements, eV/f.u.: 0.8
Crystal system: orthorhombic

abc: 3.1322 3.6813 9.2355
angles: 90.00 90.00 90.00
Closest atoms and distances in Å follow each position.
Space group Imm2 (No. 44)
One atom of each set of equivalent atoms:
Ta  0.0000  0.0000  0.0000 [2 per cell]  4 Os 2.70, 5 Hg 2.89-2.97
Hg  0.0000  0.0000  0.6870 [2 per cell]  5 Ta 2.89-2.97, 5 Os 2.92-2.95, 2 Hg 3.13
Os  0.0000  0.0000  0.3705 [2 per cell]  4 Ta 2.70, 5 Hg 2.92-2.95



Entry 2:
Cs3UHg2Se6 after structural relaxation. Source: the Alexandria database, functional PBE.

Values from the calculation:
N(E_F), states/eV per cell: 4.7
Formation energy from raw total energies, eV per atom: -0.82
Crystal system: trigonal

abc: 8.1306 8.1306 9.4828
angles: 90.00 90.00 120.00
Closest atoms and distances in Å follow each position.
Space group P-3m1 (No. 164)
One atom of each set of equivalent atoms:
Cs  0.0000  0.0000  0.0000 [1 per cell]  6 Se 3.62
Cs  0.3333  0.6667  0.7058 [2 per cell]  1 Hg 3.59
U  0.0000  0.0000  0.5000 [1 per cell]  6 Se 2.77
Hg  0.3333  0.6667  0.3271 [2 per cell]  3 Se 2.59
Se  0.1498  0.2996  0.3104 [6 per cell]  1 Hg 2.59, 1 U 2.77



Entry 3:
PrNd2Pd4 after structural relaxation. Source: the Alexandria database, functional PBE.

Values from the calculation:
N(E_F), states/eV per cell: 10.2
Energy relative to the elements, eV/f.u.: -0.7
Crystal system: tetragonal

abc: 5.2125 5.2125 15.0046
angles: 90.00 90.00 90.00
Closest atoms and distances in Å follow each position.
Space group I4/mmm (No. 139)
One atom of each set of equivalent atoms:
Pr  0.0000  0.0000  0.0000 [2 per cell]  6 Pd 2.61-2.80
Nd  0.0000  0.0000  0.3667 [4 per cell]  1 Pd 2.71
Pd  0.0000  0.0000  0.1864 [4 per cell]  1 Nd 2.71, 1 Pr 2.80
Pd  0.0000  0.5000  0.0000 [4 per cell]  2 Pr 2.61



Entry 4:
Rb2PSeI6 after structural relaxation. Source: the Alexandria database, functional PBE.

Values from the calculation:
N(E_F), states/eV per cell: 7.4
Formation energy from raw total energies, eV per atom: -0.53
Crystal system: tetragonal

abc: 8.2492 8.2492 11.5790
angles: 90.00 90.00 90.00
Closest atoms and distances in Å follow each position.
Space group I4/mmm (No. 139)
One atom of each set of equivalent atoms:
Rb  0.0000  0.5000  0.2500 [4 per cell]  12 I 4.11-4.13
P  0.0000  0.0000  0.0000 [2 per cell]  6 I 2.80-2.81
Se  0.0000  0.0000  0.5000 [2 per cell]  6 I 2.98-3.03
I  0.0000  0.0000  0.2428 [4 per cell]  1 P 2.81, 1 Se 2.98
I  0.2400  0.2400  0.0000 [8 per cell]  1 P 2.80, 1 Se 3.03



Entry 5:
CsLaAsSe2 after structural relaxation. Source: the Alexandria database, functional PBE.

Values from the calculation:
N(E_F), states/eV per cell: 5.7
Formation energy from raw total energies, eV per atom: -0.74
Crystal system: tetragonal

abc: 5.8597 5.8597 6.0306
angles: 90.00 90.00 90.00
Closest atoms and distances in Å follow each position.
Space group P4/mmm (No. 123)
One atom of each set of equivalent atoms:
Cs  0.0000  0.0000  0.0000 [1 per cell]  4 As 4.14, 8 Se 4.20
La  0.5000  0.5000  0.5000 [1 per cell]  4 Se 2.93, 2 As 3.02
As  0.5000  0.5000  0.0000 [1 per cell]  2 La 3.02
Se  0.0000  0.5000  0.5000 [2 per cell]  2 La 2.93



Entry 6:
KRbSr2 after structural relaxation. Source: the Alexandria database, functional PBE.

Values from the calculation:
N(E_F), states/eV per cell: 13.7
Energy relative to the elements, eV/f.u.: 0.6
Crystal system: trigonal

abc: 4.3523 4.3523 48.6486
angles: 90.00 90.00 120.00
Closest atoms and distances in Å follow each position.
Space group R-3m (No. 166, hexagonal axes)
One atom of each set of equivalent atoms:
K  0.0000  0.0000  0.0000 [3 per cell]  6 K 4.35, 6 Sr 4.54
Rb  0.0000  0.0000  0.5000 [3 per cell]  2 Sr 4.33, 6 Rb 4.35
Sr  0.0000  0.0000  0.4111 [6 per cell]  1 Rb 4.33, 6 Sr 4.35, 3 K 4.54